[1]
PrYThMg: relaxed, PBE. Values from VASP.

Summary:
E = -5.111 eV per atom
E above lowest polymorph = 0.00 eV/f.u.
DOS at the Fermi energy = 1.01 states/eV/atom
DFT formation energy = -0.046 eV per atom
M_tot = 0.0 μB per cell

```
&SYSTEM
  ibrav = 0, nat = 4, ntyp = 4
/
ATOMIC_SPECIES
Pr 140.91 Pr.upf
Y 88.91 Y.upf
Th 232.04 Th.upf
Mg 24.30 Mg.upf
CELL_PARAMETERS angstrom
3.6359 0.0000 0.0000
0.0000 3.6359 0.0000
0.0000 0.0000 9.3404
ATOMIC_POSITIONS crystal
Pr 0.0000 0.0000 0.0000
Y 0.0000 0.0000 0.4809
Th 0.5000 0.5000 0.7363
Mg 0.5000 0.5000 0.2503
```

[2]
Nb5Tc3: relaxed, PBE. Values from VASP.

Summary:
E = -10.470 eV per atom
DOS at the Fermi energy = 0.53 states/eV/atom
DFT formation energy = -0.289 eV per atom
M_tot = 0.0 μB per cell

```
&SYSTEM
  ibrav = 0, nat = 8, ntyp = 2
/
ATOMIC_SPECIES
Nb 92.91 Nb.upf
Tc 98.00 Tc.upf
CELL_PARAMETERS angstrom
3.2043 0.0000 0.0000
0.0000 3.2043 0.0000
0.0000 0.0000 13.0809
ATOMIC_POSITIONS crystal
Nb 0.0000 0.0000 0.0000
Nb 0.0000 0.0000 0.2434
Nb 0.0000 0.0000 0.7566
Nb 0.5000 0.5000 0.3787
Nb 0.5000 0.5000 0.6213
Tc 0.0000 0.0000 0.5000
Tc 0.5000 0.5000 0.1228
Tc 0.5000 0.5000 0.8772
```

[3]
TiVCo4: relaxed, PBE. Values from VASP.

Summary:
E = -7.581 eV per atom
E above lowest polymorph = 0.87 eV/f.u.
DOS at the Fermi energy = 1.44 states/eV/atom
DFT formation energy = -0.008 eV per atom
M_tot = 3.8 μB per cell

```
&SYSTEM
  ibrav = 0, nat = 6, ntyp = 3
/
ATOMIC_SPECIES
Ti 47.87 Ti.upf
V 50.94 V.upf
Co 58.93 Co.upf
CELL_PARAMETERS angstrom
2.5401 0.0000 0.0000
0.0000 4.0734 0.0000
0.0000 0.0000 7.0207
ATOMIC_POSITIONS crystal
Ti 0.0000 0.0000 0.0000
V 0.0000 0.5000 0.5000
Co 0.5000 0.0000 0.3366
Co 0.5000 0.0000 0.6634
Co 0.5000 0.5000 0.1705
Co 0.5000 0.5000 0.8295
```

[4]
CaAsSe2: relaxed, PBE. Values from VASP.

Summary:
Formation energy from raw total energies = -726 meV per atom
E = -4.131 eV per atom
DOS at the Fermi energy = 0.50 states/eV/atom
M_tot = 0.0 μB per cell

```
&SYSTEM
  ibrav = 0, nat = 4, ntyp = 3
/
ATOMIC_SPECIES
Ca 40.08 Ca.upf
As 74.92 As.upf
Se 78.96 Se.upf
CELL_PARAMETERS angstrom
2.1456 1.2387 6.2277
-2.1456 1.2387 6.2277
0.0000 -2.4775 6.2277
ATOMIC_POSITIONS crystal
Ca 0.0000 0.0000 0.0000
As 0.5000 0.5000 0.5000
Se 0.2420 0.2420 0.2420
Se 0.7580 0.7580 0.7580
```